No. 1
Compound: LaPr5Dy2Ho
Source: the Alexandria database
Functional: PBE
Structure: optimized geometry

Computed properties:
* formation energy: 0.280 eV per atom
* spin magnetization: 0.001 μB per formula unit

a b c (Å): 9.504 9.504 14.263
angles (deg): 90.00 90.00 90.00
Space group I4/mcm (No. 140)
Unique sites:
La  0.000  0.000  0.250 [4 per cell]
Pr  0.000  0.000  0.000 [4 per cell]
Pr  0.202  0.298  0.132 [16 per cell]
Dy  0.109  0.391  0.500 [8 per cell]
Ho  0.000  0.500  0.250 [4 per cell]

=====

No. 2
Compound: LaPrDyHo
Source: the Alexandria database
Functional: PBE
Structure: optimized geometry

Computed properties:
* formation energy: 0.102 eV per atom
* spin magnetization: 0.001 μB per formula unit

a b c (Å): 12.540 5.965 3.810
angles (deg): 90.00 106.83 90.00
Space group Cm (No. 8)
Unique sites:
La  0.000  0.000  0.000 [2 per cell]
Pr  0.233  0.500  0.153 [2 per cell]
Dy  0.486  0.000  0.453 [2 per cell]
Ho  0.250  0.000  0.692 [2 per cell]